Entry 1:
PrNd3Ir GGA-PBE optimized geometry; relative energy among the computed polymorphs = 0.0 meV/atom; crystal system = monoclinic; raw total energy = -116.9 eV per cell; ΔH_f (0 K) = -0.2572 eV per atom
1.0
8.212 0.000 0.000
0.000 7.633 0.000
-3.017 0.000 9.909
Pr Nd Ir
4 12 4
Direct
0.191 0.037 0.255 Pr
0.191 0.463 0.755 Pr
0.809 0.537 0.245 Pr
0.809 0.963 0.745 Pr
0.067 0.708 0.023 Nd
0.067 0.792 0.523 Nd
0.286 0.504 0.378 Nd
0.286 0.996 0.878 Nd
0.415 0.129 0.608 Nd
0.415 0.371 0.108 Nd
0.585 0.629 0.892 Nd
0.585 0.871 0.392 Nd
0.714 0.004 0.122 Nd
0.714 0.496 0.622 Nd
0.933 0.208 0.477 Nd
0.933 0.292 0.977 Nd
0.433 0.742 0.602 Ir
0.433 0.758 0.102 Ir
0.567 0.242 0.898 Ir
0.567 0.258 0.398 Ir



Entry 2:
PrNd4Ir2 GGA-PBE optimized geometry; crystal system = monoclinic; raw total energy = -88.4 eV per cell; ΔH_f (0 K) = -0.3775 eV per atom
1.0
8.042 0.000 0.000
0.000 6.700 0.000
-3.202 0.000 7.463
Pr Nd Ir
2 8 4
Direct
0.151 0.250 0.025 Pr
0.849 0.750 0.975 Pr
0.013 0.250 0.378 Nd
0.252 0.750 0.339 Nd
0.413 0.005 0.761 Nd
0.413 0.495 0.761 Nd
0.587 0.505 0.239 Nd
0.587 0.995 0.239 Nd
0.748 0.250 0.661 Nd
0.987 0.750 0.622 Nd
0.256 0.750 0.990 Ir
0.370 0.250 0.403 Ir
0.630 0.750 0.597 Ir
0.744 0.250 0.010 Ir



Entry 3:
Pr3NdIr8 GGA-PBE optimized geometry; crystal system = trigonal; raw total energy = -98.0 eV per cell; ΔH_f (0 K) = -0.6711 eV per atom
1.0
2.729 1.576 8.903
-2.729 1.576 8.903
0.000 -3.151 8.903
Pr Nd Ir
3 1 8
Direct
0.000 0.000 0.000 Pr
0.125 0.125 0.125 Pr
0.500 0.500 0.500 Pr
0.625 0.625 0.625 Nd
0.062 0.562 0.562 Ir
0.063 0.063 0.563 Ir
0.063 0.563 0.063 Ir
0.313 0.313 0.313 Ir
0.562 0.062 0.562 Ir
0.562 0.562 0.062 Ir
0.563 0.063 0.063 Ir
0.813 0.813 0.813 Ir